# 1
A plane-wave DFT calculation with PBE was carried out for an optimized crystal structure of TbSiNi.

The structure belongs to space group P-62m (No. 189); the cell edges are 7.7136, 7.7136 and 3.1799 Å and the angles 90.00°, 90.00° and 120.00°. The inequivalent atoms are Tb at (0.0000, 0.2928, 0.0000), Si at (0.0000, 0.0000, 0.5000), Si at (0.3333, 0.6667, 0.0000) and Ni at (0.0000, 0.6355, 0.5000).

Its total energy is -5.321 eV per atom.

=====

# 2
A plane-wave DFT calculation with PBE was carried out for an optimized crystal structure of Tb3Si3Ni.

The structure belongs to space group C2/m (No. 12); the cell edges are 10.3955, 4.2087 and 13.5979 Å and the angles 90.00°, 110.68° and 90.00°. The inequivalent atoms are Tb at (0.0308, 0.0000, 0.3806), Tb at (0.1019, 0.0000, 0.9216), Tb at (0.2471, 0.0000, 0.2279), Si at (0.0472, 0.5000, 0.2358), Si at (0.1124, 0.5000, 0.0760), Si at (0.1371, 0.5000, 0.5429) and Ni at (0.2476, 0.5000, 0.4029).

Its total energy is -5.918 eV per atom.

=====

# 3
A plane-wave DFT calculation with PBE was carried out for an optimized crystal structure of TbSiNi.

The structure belongs to space group Pnma (No. 62); the cell edges are 5.1805, 3.9838 and 10.5508 Å and the angles 90.00°, 90.00° and 90.00°. The inequivalent atoms are Tb at (0.1331, 0.2500, 0.1380), Si at (0.1406, 0.7500, 0.3598) and Ni at (0.1286, 0.2500, 0.4575).

Its total energy is -5.908 eV per atom.

=====

Number 1: M_tot 0.006 Bohr magnetons per cell. Number 2: M_tot 0.030 Bohr magnetons per cell. Number 3: M_tot 0.001 Bohr magnetons per cell.